Here is a relaxed structure of RbTa3S5 from OQMD. Energies are from PBE.

Unit cell a=5.719 b=5.719 c=7.508 alpha=90.00 beta=90.00 gamma=120.00
Positions (direct):
S: 0.000 0.000 0.500
S: 0.333 0.667 0.751
S: 0.667 0.333 0.249
S: 0.333 0.667 0.249
S: 0.667 0.333 0.751
Ta: 0.000 0.500 0.500
Ta: 0.500 0.000 0.500
Ta: 0.500 0.500 0.500
Rb: 0.000 0.000 0.000

Summary:
Energy   -0.52721 Ry per atom
V   213 Å³ per cell